# TbHo5Ru6, relaxed, DFT PBE
data_TbHo5Ru6
_symmetry_space_group_name_H-M 'I m m m'
_symmetry_Int_Tables_number 71
_symmetry_space_group_name_Hall '-I 2 2'
_cell_length_a 4.7974
_cell_length_b 6.7874
_cell_length_c 14.3288
_cell_angle_alpha 90.00
_cell_angle_beta 90.00
_cell_angle_gamma 90.00
loop_
_atom_site_label
_atom_site_type_symbol
_atom_site_fract_x
_atom_site_fract_y
_atom_site_fract_z
Tb1 Tb 0.0000 0.0000 0.0000
Ho1 Ho 0.0000 0.0000 0.3334
Ho2 Ho 0.0000 0.5000 0.0000
Ho3 Ho 0.0000 0.5000 0.3328
Ru1 Ru 0.0000 0.2492 0.5000
Ru2 Ru 0.0000 0.2503 0.1670
# Volume   19.4 A^3/atom
# Total moment   0.000 μB per atom
# Formation energy from the elements   -0.34 eV/atom